# 1
Ba2ZrBI PBE relaxed; crystal system = tetragonal; total magnetic moment = 0.0 μB/f.u.; E_tot = -15.08 eV per cell; symmetry = P4/mmm (123); formation energy from raw total energies = 1.11 eV/atom
1.0
-1.819 -1.715 -5.962
4.963 0.775 -1.737
1.430 -6.162 1.337
Ba Zr B I
2 1 1 1
direct
0.500 0.000 0.000
0.000 0.000 0.500
0.000 0.500 0.000
0.500 0.500 0.500
0.000 0.000 0.000

***

# 2
BaIn3B PBE relaxed; crystal system = cubic; total magnetic moment = 0.0 μB/f.u.; energy of formation = 7.08 kcal/mol of atoms; E_tot = -15.28 eV per cell; symmetry = Pm-3m (221)
1.0
5.123 0.000 0.000
0.000 5.123 0.000
0.000 0.000 5.123
Ba In B
1 3 1
direct
0.500 0.500 0.500
0.000 0.000 0.500
0.000 0.500 0.000
0.500 0.000 0.000
0.000 0.000 0.000

***

# 3
Ba3InB PBE relaxed; crystal system = cubic; total magnetic moment = 3.0 μB/f.u.; energy of formation = 6.51 kcal/mol of atoms; E_tot = -13.77 eV per cell; symmetry = Pm-3m (221)
1.0
-3.878 -3.499 2.786
3.101 0.554 5.012
-3.223 4.743 1.470
Ba B In
3 1 1
direct
0.500 0.000 0.000
0.000 0.500 0.000
0.000 0.000 0.500
0.000 0.000 0.000
0.500 0.500 0.500

***

# 4
BaIn2B PBE relaxed; crystal system = tetragonal; total magnetic moment = 0.0 μB/f.u.; energy of formation = 9.34 kcal/mol of atoms; E_tot = -24.91 eV per cell; symmetry = I-42d (122)
1.0
7.221 0.000 0.000
0.000 7.221 0.000
3.610 3.610 4.933
In Ba B
4 2 2
direct
0.875 0.692 0.750
0.442 0.125 0.250
0.375 0.558 0.750
0.308 0.625 0.250
0.000 0.000 0.000
0.750 0.250 0.500
0.500 0.500 0.000
0.250 0.750 0.500

***

# 5
BaIn3B PBE relaxed; crystal system = cubic; total magnetic moment = 0.0 μB/f.u.; energy of formation = 40.94 kcal/mol of atoms; E_tot = -7.94 eV per cell; symmetry = Pm-3m (221)
1.0
6.454 0.000 0.000
0.000 6.454 0.000
0.000 0.000 6.454
Ba In B
1 3 1
direct
0.000 0.000 0.000
0.000 0.000 0.500
0.500 0.000 0.000
0.000 0.500 0.000
0.500 0.500 0.500

***

# 6
Ba2MnInB PBE relaxed; crystal system = tetragonal; total magnetic moment = 0.1 μB/f.u.; energy of formation = 21.57 kcal/mol of atoms; E_tot = -17.75 eV per cell; symmetry = P4/mmm (123)
1.0
6.099 0.000 0.000
0.000 4.282 0.000
0.000 0.000 6.099
Ba Mn B In
2 1 1 1
direct
0.500 0.000 0.000
0.000 0.000 0.500
0.500 0.500 0.500
0.000 0.000 0.000
0.000 0.500 0.000